No. 1
VASP calculation (PBE) on a relaxed structure of DyInAgAu.

Unit cell a=6.984 b=6.984 c=6.984 alpha=90.00 beta=90.00 gamma=90.00
Space group F-43m (No. 216)
One atom of each set of equivalent atoms:
Dy 0.000 0.000 0.000 (multiplicity 4)
In 0.000 0.000 0.500 (multiplicity 4)
Ag 0.250 0.250 0.750 (multiplicity 4)
Au 0.250 0.250 0.250 (multiplicity 4)

Summary:
E: -3.914 eV/atom

***

No. 2
VASP calculation (PBE) on a relaxed structure of Li2DyAgAu2.

Unit cell a=4.4931 b=4.4931 c=6.4629 alpha=90.00 beta=90.00 gamma=120.00
Space group P-3m1 (No. 164)
One atom of each set of equivalent atoms:
Li 0.3333 0.6667 0.1537 (multiplicity 2)
Dy 0.0000 0.0000 0.5000 (multiplicity 1)
Ag 0.0000 0.0000 0.0000 (multiplicity 1)
Au 0.3333 0.6667 0.7389 (multiplicity 2)

Summary:
E: -3.517 eV/atom

***

No. 3
VASP calculation (PBE) on a relaxed structure of LiDyAgAu.

Unit cell a=8.027 b=4.625 c=5.166 alpha=90.00 beta=120.98 gamma=90.00
Space group Cm (No. 8)
One atom of each set of equivalent atoms:
Li 0.000 0.000 0.000 (multiplicity 2)
Dy 0.494 0.000 0.483 (multiplicity 2)
Ag 0.270 0.000 0.808 (multiplicity 2)
Au 0.220 0.500 0.160 (multiplicity 2)

Summary:
E: -3.645 eV/atom